(1)
# ZnAgPb2Au6 | Alexandria via LeMat-Bulk | PBE | relaxed
# DFT formation energy (eV per atom): -0.025
# Total magnetization (μB per atom): 0.000
# V (A^3/atom): 20.946
# Density of states at the Fermi level (states/eV/cell): 2.95
data_ZnAgPb2Au6
_cell_length_a 5.1869
_cell_length_b 5.6488
_cell_length_c 7.8159
_cell_angle_alpha 98.27
_cell_angle_beta 107.45
_cell_angle_gamma 101.00
_space_group_name_H-M_alt 'P -1'
_space_group_IT_number 2
_space_group_name_Hall '-P 1'
loop_
_atom_site_label
_atom_site_fract_x
_atom_site_fract_y
_atom_site_fract_z
Zn1 0.0000 0.0000 0.0000
Ag1 0.0000 0.5000 0.5000
Pb1 0.4347 0.6822 0.3180
Au1 0.0690 0.0454 0.3448
Au2 0.1922 0.4277 0.9121
Au3 0.4577 0.8460 0.8159


(2)
# Fe2IrOs | Alexandria via LeMat-Bulk | PBE | relaxed
# DFT formation energy (eV per atom): 0.075
# Total magnetization (μB per atom): 1.095
# V (A^3/atom): 13.166
# Density of states at the Fermi level (states/eV/cell): 8.71
data_Fe2IrOs
_cell_length_a 8.6312
_cell_length_b 2.6722
_cell_length_c 4.6380
_cell_angle_alpha 90.00
_cell_angle_beta 100.06
_cell_angle_gamma 90.00
_space_group_name_H-M_alt 'C 1 2/m 1'
_space_group_IT_number 12
_space_group_name_Hall '-C 2y'
loop_
_atom_site_label
_atom_site_fract_x
_atom_site_fract_y
_atom_site_fract_z
Fe1 0.2497 0.0000 0.2456
Ir1 0.0000 0.0000 0.5000
Os1 0.0000 0.5000 0.0000


(3)
# CaAsRh2 | Alexandria via LeMat-Bulk | PBE | relaxed
# DFT formation energy (eV per atom): -0.206
# Total magnetization (μB per atom): 0.000
# V (A^3/atom): 17.017
# Density of states at the Fermi level (states/eV/cell): 6.75
data_CaAsRh2
_cell_length_a 5.9218
_cell_length_b 8.8384
_cell_length_c 2.9877
_cell_angle_alpha 90.00
_cell_angle_beta 119.47
_cell_angle_gamma 90.00
_space_group_name_H-M_alt 'C 1 2/m 1'
_space_group_IT_number 12
_space_group_name_Hall '-C 2y'
loop_
_atom_site_label
_atom_site_fract_x
_atom_site_fract_y
_atom_site_fract_z
Ca1 0.0000 0.0000 0.0000
As1 0.0000 0.5000 0.0000
Rh1 0.2500 0.2500 0.5000


(4)
# Sr3Cd9Ag2 | Alexandria via LeMat-Bulk | PBE | relaxed
# DFT formation energy (eV per atom): -0.264
# Total magnetization (μB per atom): 0.000
# V (A^3/atom): 26.278
# Density of states at the Fermi level (states/eV/cell): 15.28
data_Sr3Cd9Ag2
_cell_length_a 4.8580
_cell_length_b 10.4318
_cell_length_c 14.5189
_cell_angle_alpha 90.00
_cell_angle_beta 90.00
_cell_angle_gamma 90.00
_space_group_name_H-M_alt 'I m m m'
_space_group_IT_number 71
_space_group_name_Hall '-I 2 2'
loop_
_atom_site_label
_atom_site_fract_x
_atom_site_fract_y
_atom_site_fract_z
Sr1 0.0000 0.0000 0.0000
Sr2 0.0000 0.0000 0.3079
Cd1 0.0000 0.2820 0.1257
Cd2 0.0000 0.3595 0.3308
Cd3 0.0000 0.5000 0.0000
Ag1 0.0000 0.2054 0.5000


(5)
# TlTc2As | Alexandria via LeMat-Bulk | PBE | relaxed
# DFT formation energy (eV per atom): 0.451
# Total magnetization (μB per atom): 0.001
# V (A^3/atom): 17.516
# Distance to the lowest polymorph of the same formula (eV/atom): 0.273
# Density of states at the Fermi level (states/eV/cell): 7.78
data_TlTc2As
_cell_length_a 3.1764
_cell_length_b 4.0702
_cell_length_c 10.8382
_cell_angle_alpha 90.00
_cell_angle_beta 90.00
_cell_angle_gamma 90.00
_space_group_name_H-M_alt 'I m m 2'
_space_group_IT_number 44
_space_group_name_Hall 'I 2 -2'
loop_
_atom_site_label
_atom_site_fract_x
_atom_site_fract_y
_atom_site_fract_z
Tl1 0.0000 0.0000 0.0000
Tc1 0.0000 0.0000 0.4206
Tc2 0.0000 0.5000 0.1919
As1 0.0000 0.5000 0.7464


(6)
# TbCe2MgIn4 | Alexandria via LeMat-Bulk | PBE | relaxed
# DFT formation energy (eV per atom): -0.349
# Total magnetization (μB per atom): 0.227
# V (A^3/atom): 26.972
# Density of states at the Fermi level (states/eV/cell): 40.57
data_TbCe2MgIn4
_cell_length_a 5.2918
_cell_length_b 5.2918
_cell_length_c 26.6920
_cell_angle_alpha 90.00
_cell_angle_beta 90.00
_cell_angle_gamma 120.00
_space_group_name_H-M_alt 'R -3 m'
_space_group_IT_number 166
_space_group_name_Hall '-R 3 2"'
loop_
_atom_site_label
_atom_site_fract_x
_atom_site_fract_y
_atom_site_fract_z
Tb1 0.0000 0.0000 0.0000
Ce1 0.0000 0.0000 0.2434
Mg1 0.0000 0.0000 0.5000
In1 0.0000 0.0000 0.1236
In2 0.0000 0.0000 0.3748


(7)
# SnBRh2Se | Alexandria via LeMat-Bulk | PBE | relaxed
# Total magnetization (μB per atom): 0.000
# V (A^3/atom): 16.173
# ΔE_f (raw) (eV/f.u.): 1.2
# Density of states at the Fermi level (states/eV/cell): 4.16
data_SnBRh2Se
_cell_length_a 4.2347
_cell_length_b 4.2347
_cell_length_c 4.5092
_cell_angle_alpha 90.00
_cell_angle_beta 90.00
_cell_angle_gamma 90.00
_space_group_name_H-M_alt 'P 4/m m m'
_space_group_IT_number 123
_space_group_name_Hall '-P 4 2'
loop_
_atom_site_label
_atom_site_fract_x
_atom_site_fract_y
_atom_site_fract_z
Sn1 0.0000 0.0000 0.0000
B1 0.5000 0.5000 0.5000
Rh1 0.0000 0.5000 0.5000
Se1 0.5000 0.5000 0.0000


(8)
# ZnSbCl2 | Alexandria via LeMat-Bulk | PBE | relaxed
# Total magnetization (μB per atom): 0.000
# V (A^3/atom): 31.366
# Distance to the lowest polymorph of the same formula (eV/atom): 0.077
# ΔE_f (raw) (eV/f.u.): -1.9
# Density of states at the Fermi level (states/eV/cell): 2.94
data_ZnSbCl2
_cell_length_a 3.4043
_cell_length_b 5.2314
_cell_length_c 14.0898
_cell_angle_alpha 90.00
_cell_angle_beta 90.00
_cell_angle_gamma 90.00
_space_group_name_H-M_alt 'I m m 2'
_space_group_IT_number 44
_space_group_name_Hall 'I 2 -2'
loop_
_atom_site_label
_atom_site_fract_x
_atom_site_fract_y
_atom_site_fract_z
Zn1 0.0000 0.0000 0.0000
Sb1 0.0000 0.5000 0.6589
Cl1 0.0000 0.0000 0.6104
Cl2 0.0000 0.5000 0.3845


(9)
# LaGa2Fe | Alexandria via LeMat-Bulk | PBE | relaxed
# DFT formation energy (eV per atom): 0.001
# Total magnetization (μB per atom): 0.000
# V (A^3/atom): 19.026
# Density of states at the Fermi level (states/eV/cell): 26.25
data_LaGa2Fe
_cell_length_a 6.7270
_cell_length_b 6.7270
_cell_length_c 6.7270
_cell_angle_alpha 90.00
_cell_angle_beta 90.00
_cell_angle_gamma 90.00
_space_group_name_H-M_alt 'F m -3 m'
_space_group_IT_number 225
_space_group_name_Hall '-F 4 2 3'
loop_
_atom_site_label
_atom_site_fract_x
_atom_site_fract_y
_atom_site_fract_z
La1 0.0000 0.0000 0.0000
Ga1 0.2500 0.2500 0.2500
Fe1 0.0000 0.0000 0.5000


(10)
# MnGaGeSe2 | Alexandria via LeMat-Bulk | PBE | relaxed
# Total magnetization (μB per atom): 0.450
# V (A^3/atom): 20.616
# Distance to the lowest polymorph of the same formula (eV/atom): 0.111
# ΔE_f (raw) (eV/f.u.): -0.8
# Density of states at the Fermi level (states/eV/cell): 4.41
data_MnGaGeSe2
_cell_length_a 3.5240
_cell_length_b 3.4404
_cell_length_c 17.0049
_cell_angle_alpha 90.00
_cell_angle_beta 90.00
_cell_angle_gamma 90.00
_space_group_name_H-M_alt 'A m m 2'
_space_group_IT_number 38
_space_group_name_Hall 'A 2 -2'
loop_
_atom_site_label
_atom_site_fract_x
_atom_site_fract_y
_atom_site_fract_z
Mn1 0.0000 0.0000 0.0000
Ga1 0.0000 0.0000 0.1509
Ge1 0.5000 0.0000 0.5349
Se1 0.0000 0.0000 0.3991
Se2 0.5000 0.0000 0.7108


(11)
# HfAsH3 | Alexandria via LeMat-Bulk | PBE | relaxed
# Total magnetization (μB per atom): 0.000
# V (A^3/atom): 9.974
# Distance to the lowest polymorph of the same formula (eV/atom): 0.551
# Density of states at the Fermi level (states/eV/cell): 3.54
data_HfAsH3
_cell_length_a 3.6809
_cell_length_b 3.6809
_cell_length_c 3.6809
_cell_angle_alpha 90.00
_cell_angle_beta 90.00
_cell_angle_gamma 90.00
_space_group_name_H-M_alt 'P m -3 m'
_space_group_IT_number 221
_space_group_name_Hall '-P 4 2 3'
loop_
_atom_site_label
_atom_site_fract_x
_atom_site_fract_y
_atom_site_fract_z
Hf1 0.0000 0.0000 0.0000
As1 0.5000 0.5000 0.5000
H1 0.0000 0.5000 0.5000


(12)
# K3Cu2SnBr9 | Alexandria via LeMat-Bulk | PBE | relaxed
# Total magnetization (μB per atom): 0.000
# V (A^3/atom): 30.567
# ΔE_f (raw) (eV/f.u.): -14.3
# Density of states at the Fermi level (states/eV/cell): 6.33
data_K3Cu2SnBr9
_cell_length_a 7.5348
_cell_length_b 7.5348
_cell_length_c 9.3255
_cell_angle_alpha 90.00
_cell_angle_beta 90.00
_cell_angle_gamma 120.00
_space_group_name_H-M_alt 'P -3 m 1'
_space_group_IT_number 164
_space_group_name_Hall '-P 3 2"'
loop_
_atom_site_label
_atom_site_fract_x
_atom_site_fract_y
_atom_site_fract_z
K1 0.0000 0.0000 0.0000
K2 0.3333 0.6667 0.7000
Cu1 0.3333 0.6667 0.1486
Sn1 0.0000 0.0000 0.5000
Br1 0.0000 0.5000 0.0000
Br2 0.1720 0.3440 0.3269